Record 1
Computed, not measured: an optimized crystal structure of MnPb4 at the PBE level of DFT.

abc: 5.3116 5.3116 5.3116
angles: 90.00 90.00 90.00
Last column: magnetic moment on the atom in μB.
Positions (direct):
Pb  0.0000  0.0000  0.0000  0.20
Pb  0.5000  0.0000  0.5000  -0.07
Pb  0.0000  0.5000  0.5000  -0.07
Pb  0.5000  0.5000  0.0000  -0.07
Mn  0.5000  0.5000  0.5000  2.91

Output
ΔH_f (0 K) ... 306.4 meV/atom
Density of states at the Fermi level ... 3.46 states/eV per cell
VASP energy ... -4.494 eV/atom



Record 2
Computed, not measured: an optimized crystal structure of Ti11Co9Ni4 at the PBE level of DFT.

abc: 2.9011 10.6261 10.6261
angles: 105.53 90.00 90.00
Last column: magnetic moment on the atom in μB.
Positions (direct):
Ti  0.0000  0.5853  0.9324  -0.06
Ti  0.0000  0.4147  0.0676  -0.06
Ti  0.0000  0.9324  0.5853  -0.06
Ti  0.0000  0.0676  0.4147  -0.06
Ti  0.0000  0.6305  0.3695  0.06
Ti  0.0000  0.3695  0.6305  0.06
Ti  0.0000  0.8160  0.1840  -0.08
Ti  0.0000  0.1840  0.8160  -0.08
Ti  0.0000  0.0000  0.0000  -0.09
Ti  0.0000  0.7749  0.7749  -0.04
Ti  0.0000  0.2251  0.2251  -0.04
Co  0.5000  0.6211  0.1621  0.20
Co  0.5000  0.3789  0.8379  0.20
Co  0.5000  0.1621  0.6211  0.20
Co  0.5000  0.8379  0.3789  0.20
Co  0.5000  0.7947  0.9760  0.68
Co  0.5000  0.2053  0.0240  0.68
Co  0.5000  0.9760  0.7947  0.68
Co  0.5000  0.0240  0.2053  0.68
Co  0.5000  0.5000  0.5000  -0.88
Ni  0.5000  0.5792  0.7354  -0.03
Ni  0.5000  0.4208  0.2646  -0.03
Ni  0.5000  0.7354  0.5792  -0.03
Ni  0.5000  0.2646  0.4208  -0.03

Output
ΔH_f (0 K) ... -324.8 meV/atom
Density of states at the Fermi level ... 24.44 states/eV per cell
VASP energy ... -7.572 eV/atom



Record 3
Computed, not measured: an optimized crystal structure of MnSb2Se at the PBE level of DFT.

abc: 5.0753 5.0753 5.0753
angles: 60.00 60.00 60.00
Last column: magnetic moment on the atom in μB.
Positions (direct):
Mn  0.5000  0.5000  0.5000  4.03
Sb  0.0000  0.0000  0.0000  0.01
Sb  0.2500  0.2500  0.2500  -0.07
Se  0.7500  0.7500  0.7500  -0.04

Output
Density of states at the Fermi level ... 3.46 states/eV per cell
Raw formation energy ... 0.340 eV per atom
VASP energy ... -4.885 eV/atom



Record 4
Computed, not measured: an optimized crystal structure of TiTl3Ni at the PBE level of DFT.

abc: 4.9837 4.9837 4.9837
angles: 90.00 90.00 90.00
Positions (direct):
Ni  0.0000  0.0000  0.0000
Tl  0.0000  0.5000  0.0000
Tl  0.0000  0.0000  0.5000
Tl  0.5000  0.0000  0.0000
Ti  0.5000  0.5000  0.5000

Output
ΔH_f (0 K) ... 623.1 meV/atom
Density of states at the Fermi level ... 4.30 states/eV per cell
VASP energy ... -3.532 eV/atom



Record 5
Computed, not measured: an optimized crystal structure of YTe2Ru at the PBE level of DFT.

abc: 3.5928 4.9601 4.9601
angles: 90.00 90.00 90.00
Positions (direct):
Ru  0.5000  0.0000  0.5000
Te  0.0000  0.0000  0.0000
Te  0.0000  0.5000  0.5000
Y  0.5000  0.5000  0.0000

Output
Density of states at the Fermi level ... 3.44 states/eV per cell
Raw formation energy ... -0.418 eV per atom
VASP energy ... -5.923 eV/atom



Record 6
Computed, not measured: an optimized crystal structure of Cs2MgMnI6 at the PBE level of DFT.

abc: 8.3582 8.3582 14.6969
angles: 73.48 73.48 60.00
Last column: magnetic moment on the atom in μB.
Positions (direct):
Cs  0.8784  0.8784  0.3649  0.00
Cs  0.1216  0.1216  0.6351  0.00
Cs  0.7058  0.7058  0.8825  0.00
Cs  0.2942  0.2942  0.1175  0.00
Mg  0.5842  0.5842  0.2474  0.01
Mg  0.4158  0.4158  0.7526  0.01
Mn  0.0000  0.0000  0.0000  4.34
Mn  0.5000  0.5000  0.5000  4.34
I  0.8638  0.3815  0.3733  0.04
I  0.3815  0.8638  0.3733  0.04
I  0.3815  0.3815  0.3733  0.04
I  0.1362  0.6185  0.6267  0.04
I  0.6185  0.1362  0.6267  0.04
I  0.6185  0.6185  0.6267  0.04
I  0.7107  0.2055  0.8782  0.03
I  0.2055  0.7107  0.8782  0.03
I  0.2055  0.2055  0.8782  0.03
I  0.2893  0.7945  0.1218  0.03
I  0.7945  0.2893  0.1218  0.03
I  0.7945  0.7945  0.1218  0.03

Output
Raw formation energy ... -1.056 eV per atom
VASP energy ... -3.234 eV/atom



Record 7
Computed, not measured: an optimized crystal structure of PuNbTe2 at the PBE level of DFT.

abc: 3.5887 3.5887 10.3754
angles: 80.04 80.04 60.00
Last column: magnetic moment on the atom in μB.
Positions (direct):
Nb  0.5000  0.5000  0.5000  0.11
Te  0.1044  0.1044  0.6868  -0.02
Te  0.8956  0.8956  0.3132  -0.02
Pu  0.0000  0.0000  0.0000  5.94

Output
Density of states at the Fermi level ... 9.87 states/eV per cell
Raw formation energy ... -0.190 eV per atom
VASP energy ... -7.862 eV/atom



Record 8
Computed, not measured: an optimized crystal structure of La2Sm5Ho4 at the PBE level of DFT.

abc: 3.5565 11.7391 9.0755
angles: 94.08 101.30 90.00
Positions (direct):
La  0.7177  0.3543  0.4354
La  0.2823  0.6457  0.5646
Sm  0.9057  0.4628  0.8115
Sm  0.0943  0.5372  0.1885
Sm  0.8240  0.9326  0.6480
Sm  0.5000  0.0000  0.0000
Sm  0.1760  0.0674  0.3520
Ho  0.3608  0.2011  0.7216
Ho  0.9688  0.7437  0.9375
Ho  0.6392  0.7989  0.2784
Ho  0.0312  0.2563  0.0625

Output
ΔH_f (0 K) ... 66.2 meV/atom
Density of states at the Fermi level ... 15.48 states/eV per cell
VASP energy ... -4.639 eV/atom



Record 9
Computed, not measured: an optimized crystal structure of Sr2ZnSi2 at the PBE level of DFT.

abc: 4.4482 6.2186 10.2309
angles: 79.94 77.44 69.04
Positions (direct):
Sr  0.7156  0.2222  0.3467
Sr  0.8930  0.3093  0.9048
Sr  0.2844  0.7778  0.6533
Sr  0.1070  0.6907  0.0952
Zn  0.5569  0.2020  0.6843
Zn  0.4431  0.7980  0.3157
Si  0.0368  0.3409  0.5854
Si  0.6006  0.9055  0.8933
Si  0.9632  0.6591  0.4146
Si  0.3994  0.0945  0.1067

Output
Density of states at the Fermi level ... 5.06 states/eV per cell
Raw formation energy ... -0.389 eV per atom
VASP energy ... -3.486 eV/atom



Record 10
Computed, not measured: an optimized crystal structure of CsYNbV2 at the PBE level of DFT.

abc: 4.8498 4.8498 5.7574
angles: 90.00 90.00 90.00
Last column: magnetic moment on the atom in μB.
Positions (direct):
Cs  0.0000  0.0000  0.5000  0.01
Y  0.5000  0.5000  0.5000  0.06
Nb  0.0000  0.0000  0.0000  -0.42
V  0.0000  0.5000  0.0000  1.48
V  0.5000  0.0000  0.0000  1.48

Output
ΔH_f (0 K) ... 1585.8 meV/atom
Density of states at the Fermi level ... 6.08 states/eV per cell
VASP energy ... -5.539 eV/atom



Record 11
Computed, not measured: an optimized crystal structure of Er5Cu2Pt at the PBE level of DFT.

abc: 6.9933 6.9933 9.0880
angles: 112.63 112.63 90.00
Positions (direct):
Er  0.5240  0.6760  0.7000
Er  0.8240  0.9760  0.3000
Er  0.0000  0.0000  0.0000
Er  0.5000  0.5000  0.0000
Er  0.1760  0.0240  0.7000
Er  0.6760  0.1760  0.7000
Er  0.0240  0.5240  0.7000
Er  0.3240  0.8240  0.3000
Er  0.9760  0.4760  0.3000
Er  0.4760  0.3240  0.3000
Cu  0.1233  0.3767  0.0000
Cu  0.6233  0.1233  0.0000
Cu  0.3767  0.8767  0.0000
Cu  0.8767  0.6233  0.0000
Pt  0.7500  0.7500  0.5000
Pt  0.2500  0.2500  0.5000

Output
ΔH_f (0 K) ... -479.1 meV/atom
Density of states at the Fermi level ... 19.44 states/eV per cell
VASP energy ... -5.110 eV/atom



Record 12
Computed, not measured: an optimized crystal structure of Ce3ZrO7 at the PBE level of DFT.

abc: 6.6829 6.6829 7.7428
angles: 90.00 90.00 109.54
Last column: magnetic moment on the atom in μB.
Positions (direct):
Ce  0.5003  0.5003  0.5000  0.77
Ce  0.4997  0.4997  0.0000  0.77
Ce  0.5296  0.0018  0.2499  0.60
Ce  0.4704  0.9982  0.7499  0.60
Ce  0.0018  0.5296  0.7501  0.60
Ce  0.9982  0.4704  0.2501  0.60
Zr  0.0001  0.0001  0.5000  0.02
Zr  0.9999  0.9999  0.0000  0.02
O  0.6647  0.9156  0.5306  -0.01
O  0.3353  0.0844  0.0306  -0.01
O  0.9156  0.6647  0.4694  -0.01
O  0.0844  0.3353  0.9694  -0.01
O  0.0842  0.3352  0.5307  -0.01
O  0.9158  0.6648  0.0307  -0.01
O  0.3352  0.0842  0.4693  -0.01
O  0.6648  0.9158  0.9693  -0.01
O  0.3707  0.6293  0.2500  -0.02
O  0.6293  0.3707  0.7500  -0.02
O  0.6358  0.3642  0.2500  -0.02
O  0.3642  0.6358  0.7500  -0.02
O  0.9213  0.0787  0.2500  -0.01
O  0.0787  0.9213  0.7500  -0.01

Output
Density of states at the Fermi level ... 27.80 states/eV per cell
Raw formation energy ... -3.428 eV per atom
VASP energy ... -8.979 eV/atom